Compound: Li2MnBiO4
Source: the Alexandria database
Functional: GGA+U
Structure: optimized geometry

Summary:
Total magnetic moment (μB/f.u.): 4.00
Crystal system: orthorhombic
Energy (eV/cell): -183.93

Lattice parameters (Å, degrees): 3.3191 12.5367 9.4836 90.00 90.00 90.00
With the nearest neighbours (Å) after each atom.
Space group Cmcm (No. 63)
Inequivalent atoms, fractional coordinates:
Li (0.0000, 0.0889, 0.0418) [8 per cell]  4 O 1.90-2.04
Mn (0.0000, 0.2882, 0.7500) [4 per cell]  4 O 1.86-2.05
Bi (0.0000, 0.4315, 0.2500) [4 per cell]  6 O 2.46-2.52
O (0.0000, 0.1155, 0.2500) [4 per cell]  2 Li 2.00, 2 Mn 2.05
O (0.0000, 0.1763, 0.6214) [8 per cell]  1 Mn 1.86, 1 Li 1.90
O (0.0000, 0.5000, 0.0000) [4 per cell]  4 Li 2.04